1.
Density functional theory data (PBE-GGA) for a relaxed structure of Ho2Ag2Pd3.

Values from the calculation:
DFT total energy in eV per atom: -4.97
Energy above the most stable polymorph in this dataset in eV/f.u.: 0.132
Energy of formation in eV/atom: -0.623
Calculated volume in A^3/atom: 19.90
Fermi-level density of states in states/eV per cell: 2.80

```
Ho2Ag2Pd3
1.0
4.290 0.000 0.000
2.142 4.781 0.000
0.016 2.029 6.793
Ho Ag Pd
2 2 3
direct
0.124 0.253 0.285 Ho
0.876 0.747 0.715 Ho
0.376 0.750 0.069 Ag
0.624 0.250 0.931 Ag
0.171 0.158 0.698 Pd
0.500 0.500 0.500 Pd
0.829 0.842 0.302 Pd
```

2.
Density functional theory data (PBE-GGA) for a relaxed structure of HoAg2Pd4.

Values from the calculation:
DFT total energy in eV per atom: -4.68
Energy of formation in eV/atom: -0.241
Calculated volume in A^3/atom: 18.99
Fermi-level density of states in states/eV per cell: 1.85

```
HoAg2Pd4
1.0
-3.345 3.345 2.969
3.345 -3.345 2.969
3.345 3.345 -2.969
Ho Ag Pd
1 2 4
direct
0.000 0.000 0.000 Ho
0.000 0.500 0.500 Ag
0.500 0.000 0.500 Ag
0.000 0.000 0.500 Pd
0.000 0.500 0.000 Pd
0.500 0.000 0.000 Pd
0.500 0.500 0.500 Pd
```

3.
Density functional theory data (PBE-GGA) for a relaxed structure of Ho4Ag3Pd2.

Values from the calculation:
DFT total energy in eV per atom: -4.66
Energy of formation in eV/atom: -0.525
Calculated volume in A^3/atom: 22.16
Fermi-level density of states in states/eV per cell: 5.60

```
Ho4Ag3Pd2
1.0
4.224 -2.439 0.000
4.224 2.439 0.000
-0.009 0.000 9.677
Ho Ag Pd
4 3 2
direct
0.000 0.000 0.169 Ho
0.000 0.000 0.831 Ho
0.333 0.333 0.385 Ho
0.667 0.667 0.615 Ho
0.000 0.000 0.500 Ag
0.333 0.333 0.995 Ag
0.667 0.667 0.005 Ag
0.333 0.333 0.687 Pd
0.667 0.667 0.313 Pd
```

4.
Density functional theory data (PBE-GGA) for a relaxed structure of Ho2AgPd5.

Values from the calculation:
DFT total energy in eV per atom: -4.95
Energy of formation in eV/atom: -0.203
Calculated volume in A^3/atom: 19.73
Fermi-level density of states in states/eV per cell: 10.42

```
Ho2AgPd5
1.0
1.537 -7.289 0.000
1.537 7.289 0.000
0.000 0.000 14.083
Ho Ag Pd
4 2 10
direct
0.107 0.893 0.543 Ho
0.107 0.893 0.957 Ho
0.893 0.107 0.043 Ho
0.893 0.107 0.457 Ho
0.113 0.887 0.750 Ag
0.887 0.113 0.250 Ag
0.054 0.946 0.147 Pd
0.054 0.946 0.353 Pd
0.226 0.774 0.250 Pd
0.289 0.711 0.584 Pd
0.289 0.711 0.916 Pd
0.711 0.289 0.084 Pd
0.711 0.289 0.416 Pd
0.774 0.226 0.750 Pd
0.946 0.054 0.647 Pd
0.946 0.054 0.853 Pd
```

What did the second record say?
Density functional theory data (PBE-GGA) for a relaxed structure of HoAg2Pd4.

Values from the calculation:
DFT total energy in eV per atom: -4.68
Energy of formation in eV/atom: -0.241
Calculated volume in A^3/atom: 18.99
Fermi-level density of states in states/eV per cell: 1.85

```
HoAg2Pd4
1.0
-3.345 3.345 2.969
3.345 -3.345 2.969
3.345 3.345 -2.969
Ho Ag Pd
1 2 4
direct
0.000 0.000 0.000 Ho
0.000 0.500 0.500 Ag
0.500 0.000 0.500 Ag
0.000 0.000 0.500 Pd
0.000 0.500 0.000 Pd
0.500 0.000 0.000 Pd
0.500 0.500 0.500 Pd
```

- Which formula does entry 1 have?
  Ho2Ag2Pd3